No. 1
Entry from Alexandria via LeMat-Bulk: a relaxed structure of NiIr2N (PBE-GGA).

Unit cell a=6.2186 b=6.2186 c=5.2605 alpha=90.00 beta=90.00 gamma=90.00
Fractional coordinates of all 16 atoms:
Ni: 0.0000 0.0000 0.0000
Ni: 0.0000 0.5000 0.2500
Ni: 0.5000 0.0000 0.7500
Ni: 0.5000 0.5000 0.5000
Ir: 0.1591 0.2500 0.6250
Ir: 0.2500 0.6591 0.8750
Ir: 0.2500 0.8409 0.3750
Ir: 0.3409 0.2500 0.1250
Ir: 0.6591 0.7500 0.1250
Ir: 0.7500 0.1591 0.3750
Ir: 0.7500 0.3409 0.8750
Ir: 0.8409 0.7500 0.6250
N: 0.0000 0.0000 0.5000
N: 0.0000 0.5000 0.7500
N: 0.5000 0.0000 0.2500
N: 0.5000 0.5000 0.0000

Computed properties:
Symmetry: I-42d
Uncorrected formation energy: 0.63 eV per atom

=====

No. 2
Entry from Alexandria via LeMat-Bulk: a relaxed structure of ErUSn2 (PBE-GGA).

Unit cell a=3.3474 b=3.3474 c=9.0950 alpha=90.00 beta=90.00 gamma=90.00
Fractional coordinates of all 4 atoms:
Er: 0.0000 0.0000 0.0000
U: 0.0000 0.0000 0.5000
Sn: 0.5000 0.5000 0.2465
Sn: 0.5000 0.5000 0.7535

Computed properties:
Relative energy among the computed polymorphs: 0.00 eV per formula unit
Symmetry: P4/mmm

=====

Listing calculated total energy for the structures above in their given order: -7.33 -6.23 eV/atom.